No. 1
HfSbPbO5 (PBE, optimized geometry); E_form (uncorrected) = -1.986 eV per atom; space group = C2/c; N(E_F) = 3.1 states/eV/f.u.
1.0
3.7895 -4.8763 0.0000
3.7895 4.8763 0.0000
-3.7073 0.0000 7.1471
Hf Sb Pb O
2 2 2 10
Direct
0.0000 0.0000 0.0000
0.0000 0.0000 0.5000
0.3085 0.6915 0.7500
0.6915 0.3085 0.2500
0.3000 0.7000 0.2500
0.7000 0.3000 0.7500
0.0531 0.9469 0.2500
0.1053 0.6939 0.9138
0.2331 0.3553 0.5952
0.3061 0.8947 0.5862
0.3553 0.2331 0.0952
0.6447 0.7669 0.9048
0.6939 0.1053 0.4138
0.7669 0.6447 0.4048
0.8947 0.3061 0.0862
0.9469 0.0531 0.7500

=====

No. 2
Hf2SbPbO8 (PBE, optimized geometry); E_form (uncorrected) = -2.323 eV per atom; space group = Cmmm; N(E_F) = 1.7 states/eV/f.u.
1.0
3.4606 -3.4741 0.0000
3.4606 3.4741 0.0000
0.0000 0.0000 6.6793
Hf Sb Pb O
2 1 1 8
Direct
0.0000 0.0000 0.2450
0.0000 0.0000 0.7550
0.5000 0.5000 0.0000
0.5000 0.5000 0.5000
0.1745 0.8255 0.5000
0.2015 0.7985 0.0000
0.2997 0.2997 0.2161
0.2997 0.2997 0.7839
0.7003 0.7003 0.2161
0.7003 0.7003 0.7839
0.7985 0.2015 0.0000
0.8255 0.1745 0.5000

=====

No. 3
HfSc2PbO (PBE, optimized geometry); E_form (uncorrected) = -1.163 eV per atom; space group = P4/mmm; N(E_F) = 4.4 states/eV/f.u.
1.0
4.6470 0.0000 0.0000
0.0000 4.6470 0.0000
0.0000 0.0000 4.2788
Hf Sc Pb O
1 2 1 1
Direct
0.0000 0.0000 0.0000
0.0000 0.5000 0.5000
0.5000 0.0000 0.5000
0.5000 0.5000 0.0000
0.0000 0.0000 0.5000

=====

The calculation returns the following size of the total moment values, one per record and in order: 0.0, 0.0, 0.0 μB/f.u..